Ba2SbPt2 | PBE | optimized geometry

Properties
- V (Å³ per cell) = 284
- magnetic moment (μB/f.u.) = 0.0
- crystal system = tetragonal
- density of states at the Fermi level (states/eV/f.u.) = 5.4
- polymorph energy (0 for the lowest one) (meV/atom) = 127
- uncorrected formation energy (eV per atom) = -0.702
- space group = No. 127

a b c (Å): 7.736 7.736 4.750
angles (deg): 90.00 90.00 90.00
Element x y z (fractional)
Ba 0.180 0.320 0.000
Ba 0.320 0.820 0.000
Ba 0.680 0.180 0.000
Ba 0.820 0.680 0.000
Sb 0.000 0.000 0.500
Sb 0.500 0.500 0.500
Pt 0.126 0.626 0.500
Pt 0.374 0.126 0.500
Pt 0.626 0.874 0.500
Pt 0.874 0.374 0.500